# 1
Computed, not measured: a geometry-optimized Cu3PRh structure at the PBEsol level of DFT.

ΔH_f (0 K)	0.499	eV per atom
N(E_F)	6.2	states/eV per cell
electronic total energy	-24.4	eV/cell

Unit cell a=4.159 b=4.159 c=4.159 alpha=90.00 beta=90.00 gamma=90.00
Atoms (fractional coordinates):
Cu: 0.000 0.000 0.500
Cu: 0.000 0.500 0.000
Cu: 0.500 0.000 0.000
P: 0.000 0.000 0.000
Rh: 0.500 0.500 0.500

***

# 2
Computed, not measured: a geometry-optimized Cu2PRh structure at the PBEsol level of DFT.

ΔH_f (0 K)	-0.187	eV per atom
N(E_F)	2.1	states/eV per cell
electronic total energy	-23.3	eV/cell

Unit cell a=3.546 b=5.099 c=5.099 alpha=32.17 beta=90.00 gamma=90.00
Atoms (fractional coordinates):
Cu: 0.000 0.000 0.000
Cu: 0.500 0.393 0.393
P: 0.500 0.151 0.151
Rh: 0.000 0.735 0.735

***

# 3
Computed, not measured: a geometry-optimized Cu2PRh structure at the PBEsol level of DFT.

ΔH_f (0 K)	-0.194	eV per atom
N(E_F)	1.5	states/eV per cell
electronic total energy	-23.4	eV/cell

Unit cell a=4.379 b=4.379 c=4.432 alpha=112.60 beta=112.60 gamma=39.90
Atoms (fractional coordinates):
Cu: 0.000 0.000 0.000
Cu: 0.232 0.232 0.804
P: 0.520 0.520 0.426
Rh: 0.796 0.796 0.362

***

# 4
Computed, not measured: a geometry-optimized CuP2Rh structure at the PBEsol level of DFT.

relative energy among the computed polymorphs	51.7	meV per atom
ΔH_f (0 K)	-0.095	eV per atom
N(E_F)	1.9	states/eV per cell
electronic total energy	-24.4	eV/cell

Unit cell a=2.641 b=4.424 c=4.698 alpha=90.00 beta=90.00 gamma=90.00
Atoms (fractional coordinates):
Cu: 0.000 0.000 0.000
P: 0.000 0.000 0.500
P: 0.000 0.500 0.172
Rh: 0.000 0.500 0.675

***

# 5
Computed, not measured: a geometry-optimized CuPRh2 structure at the PBEsol level of DFT.

ΔH_f (0 K)	-0.205	eV per atom
N(E_F)	2.7	states/eV per cell
electronic total energy	-27.2	eV/cell

Unit cell a=3.733 b=5.115 c=5.115 alpha=32.14 beta=90.00 gamma=90.00
Atoms (fractional coordinates):
Cu: 0.000 0.000 0.000
P: 0.500 0.400 0.400
Rh: 0.000 0.272 0.272
Rh: 0.500 0.623 0.623

***

# 6
Computed, not measured: a geometry-optimized CuP2Rh structure at the PBEsol level of DFT.

relative energy among the computed polymorphs	123.6	meV per atom
ΔH_f (0 K)	-0.023	eV per atom
N(E_F)	1.8	states/eV per cell
electronic total energy	-24.1	eV/cell

Unit cell a=2.793 b=2.793 c=7.098 alpha=90.00 beta=90.00 gamma=90.00
Atoms (fractional coordinates):
Cu: 0.000 0.000 0.000
P: 0.000 0.000 0.546
P: 0.500 0.500 0.199
Rh: 0.500 0.500 0.729

***

# 7
Computed, not measured: a geometry-optimized Cu2PRh structure at the PBEsol level of DFT.

ΔH_f (0 K)	-0.088	eV per atom
N(E_F)	3.1	states/eV per cell
electronic total energy	-22.9	eV/cell

Unit cell a=3.497 b=3.497 c=3.935 alpha=90.00 beta=90.00 gamma=90.00
Atoms (fractional coordinates):
Cu: 0.000 0.500 0.000
Cu: 0.500 0.000 0.000
P: 0.000 0.000 0.500
Rh: 0.500 0.500 0.500

***

# 8
Computed, not measured: a geometry-optimized CuSbP2S structure at the PBEsol level of DFT.

relative energy among the computed polymorphs	0.0	meV per atom
formation energy from raw total energies	2.9	eV per formula unit
N(E_F)	4.1	states/eV per cell
electronic total energy	-22.0	eV/cell

Unit cell a=4.455 b=4.455 c=4.559 alpha=90.00 beta=90.00 gamma=90.00
Atoms (fractional coordinates):
Cu: 0.000 0.000 0.000
Sb: 0.500 0.500 0.500
P: 0.000 0.500 0.000
P: 0.500 0.000 0.000
S: 0.000 0.000 0.500

***

# 9
Computed, not measured: a geometry-optimized ScCuP2S structure at the PBEsol level of DFT.

formation energy from raw total energies	0.4	eV per formula unit
N(E_F)	3.2	states/eV per cell
electronic total energy	-26.5	eV/cell

Unit cell a=4.371 b=4.371 c=4.615 alpha=90.00 beta=90.00 gamma=90.00
Atoms (fractional coordinates):
Sc: 0.000 0.000 0.000
Cu: 0.500 0.500 0.500
P: 0.000 0.500 0.500
P: 0.500 0.000 0.500
S: 0.500 0.500 0.000

***

# 10
Computed, not measured: a geometry-optimized CuTcPS2 structure at the PBEsol level of DFT.

formation energy from raw total energies	3.3	eV per formula unit
N(E_F)	4.4	states/eV per cell
electronic total energy	-26.9	eV/cell

Unit cell a=4.515 b=4.515 c=4.607 alpha=90.00 beta=90.00 gamma=90.00
Atoms (fractional coordinates):
Cu: 0.000 0.000 0.000
Tc: 0.500 0.500 0.500
P: 0.500 0.500 0.000
S: 0.000 0.500 0.500
S: 0.500 0.000 0.500

***

# 11
Computed, not measured: a geometry-optimized CuTePS2 structure at the PBEsol level of DFT.

formation energy from raw total energies	5.6	eV per formula unit
N(E_F)	4.0	states/eV per cell
electronic total energy	-16.8	eV/cell

Unit cell a=5.019 b=5.019 c=4.693 alpha=90.00 beta=90.00 gamma=90.00
Atoms (fractional coordinates):
Cu: 0.000 0.000 0.000
Te: 0.000 0.000 0.500
P: 0.500 0.500 0.000
S: 0.000 0.500 0.500
S: 0.500 0.000 0.500

***

# 12
Computed, not measured: a geometry-optimized YCuP2S structure at the PBEsol level of DFT.

formation energy from raw total energies	-1.1	eV per formula unit
N(E_F)	2.8	states/eV per cell
electronic total energy	-28.2	eV/cell

Unit cell a=4.403 b=4.403 c=4.688 alpha=90.00 beta=90.00 gamma=90.00
Atoms (fractional coordinates):
Y: 0.000 0.000 0.000
Cu: 0.500 0.500 0.500
P: 0.000 0.500 0.500
P: 0.500 0.000 0.500
S: 0.500 0.500 0.000

***

# 13
Computed, not measured: a geometry-optimized ZrCuP2S structure at the PBEsol level of DFT.

formation energy from raw total energies	1.0	eV per formula unit
N(E_F)	3.1	states/eV per cell
electronic total energy	-28.4	eV/cell

Unit cell a=4.384 b=4.384 c=4.454 alpha=90.00 beta=90.00 gamma=90.00
Atoms (fractional coordinates):
Zr: 0.000 0.000 0.000
Cu: 0.500 0.500 0.500
P: 0.000 0.500 0.500
P: 0.500 0.000 0.500
S: 0.500 0.500 0.000

***

# 14
Computed, not measured: a geometry-optimized Cu2SbP structure at the PBEsol level of DFT.

relative energy among the computed polymorphs	204.0	meV per atom
formation energy from raw total energies	1.2	eV per formula unit
N(E_F)	1.7	states/eV per cell
electronic total energy	-17.8	eV/cell

Unit cell a=3.023 b=3.023 c=7.036 alpha=90.00 beta=90.00 gamma=98.47
Atoms (fractional coordinates):
Cu: 0.000 0.000 0.193
Cu: 0.000 0.000 0.807
Sb: 0.500 0.500 0.500
P: 0.500 0.500 0.000

***

# 15
Computed, not measured: a geometry-optimized CuSbP2 structure at the PBEsol level of DFT.

formation energy from raw total energies	0.5	eV per formula unit
N(E_F)	1.7	states/eV per cell
electronic total energy	-20.0	eV/cell

Unit cell a=6.181 b=6.181 c=6.181 alpha=34.63 beta=34.63 gamma=34.63
Atoms (fractional coordinates):
Cu: 0.000 0.000 0.000
Sb: 0.500 0.500 0.500
P: 0.265 0.265 0.265
P: 0.735 0.735 0.735

***

# 16
Computed, not measured: a geometry-optimized Cu3SbP structure at the PBEsol level of DFT.

formation energy from raw total energies	1.7	eV per formula unit
N(E_F)	3.0	states/eV per cell
electronic total energy	-21.6	eV/cell

Unit cell a=4.385 b=4.385 c=4.385 alpha=90.00 beta=90.00 gamma=90.00
Atoms (fractional coordinates):
Cu: 0.000 0.000 0.500
Cu: 0.000 0.500 0.000
Cu: 0.500 0.000 0.000
Sb: 0.500 0.500 0.500
P: 0.000 0.000 0.000

***

# 17
Computed, not measured: a geometry-optimized Cu2SbP structure at the PBEsol level of DFT.

relative energy among the computed polymorphs	0.0	meV per atom
formation energy from raw total energies	0.4	eV per formula unit
N(E_F)	1.6	states/eV per cell
electronic total energy	-18.7	eV/cell

Unit cell a=3.852 b=3.852 c=5.624 alpha=104.86 beta=104.86 gamma=52.69
Atoms (fractional coordinates):
Cu: 0.237 0.237 0.180
Cu: 0.763 0.763 0.820
Sb: 0.000 0.000 0.500
P: 0.500 0.500 0.000

***

# 18
Computed, not measured: a geometry-optimized CuSbTe2P structure at the PBEsol level of DFT.

formation energy from raw total energies	4.2	eV per formula unit
N(E_F)	4.8	states/eV per cell
electronic total energy	-17.5	eV/cell

Unit cell a=5.083 b=5.083 c=5.186 alpha=90.00 beta=90.00 gamma=90.00
Atoms (fractional coordinates):
Cu: 0.000 0.000 0.000
Sb: 0.500 0.500 0.000
Te: 0.000 0.500 0.500
Te: 0.500 0.000 0.500
P: 0.500 0.500 0.500

***

# 19
Computed, not measured: a geometry-optimized ScCuP structure at the PBEsol level of DFT.

ΔH_f (0 K)	-0.457	eV per atom
N(E_F)	1.5	states/eV per cell
electronic total energy	-18.1	eV/cell

Unit cell a=4.502 b=4.502 c=4.502 alpha=133.58 beta=133.58 gamma=67.75
Atoms (fractional coordinates):
Sc: 0.000 0.000 0.000
Cu: 0.661 0.661 0.000
P: 0.351 0.351 0.000

***

# 20
Computed, not measured: a geometry-optimized ScCu2P structure at the PBEsol level of DFT.

ΔH_f (0 K)	-0.361	eV per atom
N(E_F)	1.1	states/eV per cell
electronic total energy	-22.5	eV/cell

Unit cell a=4.345 b=4.345 c=4.345 alpha=125.75 beta=116.28 gamma=88.46
Atoms (fractional coordinates):
Sc: 0.000 0.000 0.000
Cu: 0.283 0.783 0.500
Cu: 0.543 0.543 0.000
P: 0.725 0.225 0.500

***

# 21
Computed, not measured: a geometry-optimized ScCuP structure at the PBEsol level of DFT.

ΔH_f (0 K)	-0.957	eV per atom
N(E_F)	1.6	states/eV per cell
electronic total energy	-19.6	eV/cell

Unit cell a=3.801 b=3.801 c=3.604 alpha=90.00 beta=90.00 gamma=120.00
Atoms (fractional coordinates):
Sc: 0.000 0.000 0.000
Cu: 0.333 0.667 0.500
P: 0.667 0.333 0.500

***

# 22
Computed, not measured: a geometry-optimized CuPSe2 structure at the PBEsol level of DFT.

relative energy among the computed polymorphs	0.0	meV per atom
formation energy from raw total energies	0.6	eV per formula unit
N(E_F)	2.1	states/eV per cell
electronic total energy	-17.2	eV/cell

Unit cell a=6.036 b=6.036 c=6.036 alpha=145.56 beta=144.17 gamma=50.54
Atoms (fractional coordinates):
Cu: 0.000 0.000 0.000
P: 0.500 0.500 0.000
Se: 0.163 0.663 0.500
Se: 0.837 0.337 0.500

***

# 23
Computed, not measured: a geometry-optimized CuPSe2 structure at the PBEsol level of DFT.

relative energy among the computed polymorphs	22.3	meV per atom
formation energy from raw total energies	0.7	eV per formula unit
N(E_F)	0.2	states/eV per cell
electronic total energy	-17.1	eV/cell

Unit cell a=7.563 b=7.563 c=7.563 alpha=28.56 beta=28.56 gamma=28.56
Atoms (fractional coordinates):
Cu: 0.000 0.000 0.000
P: 0.500 0.500 0.500
Se: 0.102 0.102 0.102
Se: 0.898 0.898 0.898

***

# 24
Computed, not measured: a geometry-optimized ZnCu2PSe structure at the PBEsol level of DFT.

formation energy from raw total energies	4.2	eV per formula unit
N(E_F)	2.6	states/eV per cell
electronic total energy	-15.7	eV/cell

Unit cell a=4.488 b=4.488 c=4.411 alpha=90.00 beta=90.00 gamma=90.00
Atoms (fractional coordinates):
Zn: 0.000 0.000 0.000
Cu: 0.000 0.500 0.000
Cu: 0.500 0.000 0.000
P: 0.000 0.000 0.500
Se: 0.500 0.500 0.500

***

# 25
Computed, not measured: a geometry-optimized CuSiP2 structure at the PBEsol level of DFT.

formation energy from raw total energies	-0.5	eV per formula unit
N(E_F)	4.1	states/eV per cell
electronic total energy	-44.3	eV/cell

Unit cell a=6.308 b=6.308 c=6.308 alpha=130.97 beta=130.97 gamma=71.86
Atoms (fractional coordinates):
Cu: 0.000 0.000 0.000
Cu: 0.750 0.250 0.500
Si: 0.250 0.750 0.500
Si: 0.500 0.500 0.000
P: 0.121 0.625 0.996
P: 0.375 0.371 0.496
P: 0.629 0.125 0.004
P: 0.875 0.879 0.504

***

# 26
Computed, not measured: a geometry-optimized CuSiP2 structure at the PBEsol level of DFT.

formation energy from raw total energies	0.7	eV per formula unit
N(E_F)	1.5	states/eV per cell
electronic total energy	-21.0	eV/cell

Unit cell a=5.377 b=5.377 c=3.696 alpha=104.37 beta=104.37 gamma=36.60
Atoms (fractional coordinates):
Cu: 0.000 0.000 0.000
Si: 0.500 0.500 0.500
P: 0.169 0.169 0.564
P: 0.831 0.831 0.436

***

# 27
Computed, not measured: a geometry-optimized CuSi4P3 structure at the PBEsol level of DFT.

formation energy from raw total energies	0.5	eV per formula unit
N(E_F)	2.6	states/eV per cell
electronic total energy	-44.2	eV/cell

Unit cell a=11.910 b=11.910 c=11.910 alpha=18.38 beta=18.38 gamma=18.38
Atoms (fractional coordinates):
Cu: 0.000 0.000 0.000
Si: 0.067 0.067 0.067
Si: 0.262 0.262 0.262
Si: 0.507 0.507 0.507
Si: 0.755 0.755 0.755
P: 0.323 0.323 0.323
P: 0.571 0.571 0.571
P: 0.820 0.820 0.820

***

# 28
Computed, not measured: a geometry-optimized CuSiP2 structure at the PBEsol level of DFT.

formation energy from raw total energies	0.8	eV per formula unit
N(E_F)	1.3	states/eV per cell
electronic total energy	-20.9	eV/cell

Unit cell a=5.494 b=5.494 c=5.494 alpha=144.30 beta=142.04 gamma=53.09
Atoms (fractional coordinates):
Cu: 0.000 0.000 0.000
Si: 0.500 0.500 0.000
P: 0.330 0.830 0.500
P: 0.670 0.170 0.500

***

# 29
Computed, not measured: a geometry-optimized CuSiP2 structure at the PBEsol level of DFT.

formation energy from raw total energies	0.5	eV per formula unit
N(E_F)	1.6	states/eV per cell
electronic total energy	-21.2	eV/cell

Unit cell a=3.434 b=3.434 c=4.776 alpha=90.00 beta=90.00 gamma=90.00
Atoms (fractional coordinates):
Cu: 0.000 0.000 0.000
Si: 0.500 0.500 0.000
P: 0.000 0.000 0.500
P: 0.500 0.500 0.500

***

# 30
Computed, not measured: a geometry-optimized CuSnP2 structure at the PBEsol level of DFT.

ΔH_f (0 K)	0.004	eV per atom
N(E_F)	4.1	states/eV per cell
electronic total energy	-40.3	eV/cell

Unit cell a=6.743 b=6.743 c=6.743 alpha=132.07 beta=132.07 gamma=70.12
Atoms (fractional coordinates):
Cu: 0.000 0.000 0.000
Cu: 0.750 0.250 0.500
Sn: 0.250 0.750 0.500
Sn: 0.500 0.500 0.000
P: 0.079 0.625 0.954
P: 0.375 0.329 0.454
P: 0.671 0.125 0.046
P: 0.875 0.921 0.546